# PaGe2IrRh2

An optimized crystal structure of PaGe2IrRh2 (PBE-GGA, Alexandria via LeMat-Bulk).

The structure in extended XYZ format:
```
6
Lattice="-2.8488 2.7445 2.4767 -1.7812 -3.7589 2.1166 3.7286 0.3991 3.8466" Properties=species:S:1:pos:R:3 pbc="T T T"
Pa 1.8643 0.1995 1.9233
Ge -1.4244 1.3723 1.2383
Ge -0.8906 -1.8795 1.0583
Ir 0.0000 0.0000 0.0000
Rh 0.4490 -0.2113 5.1482
Rh -1.3505 -0.4040 3.2917
```

Computed properties:
- space group = P4/mmm
- mass density (g cm⁻³) = 10.989
- total DFT energy (no corrections) (eV per atom) = -7.116
- magnetic moment (μB per formula unit) = 0.00
- ΔE_f (eV/f.u.) = -0.40